1.
The following is a GGA-PBE calculation of BIrSe2N after structural relaxation, from Alexandria via LeMat-Bulk.

- energy relative to the elements, uncorrected (eV per atom) = 1.233
- energy (eV per atom) = -4.933
- energy relative to the lowest polymorph listed for this composition (eV per atom) = 0.675
- crystal system = tetragonal
- calculated volume (Å³/f.u.) = 96
- total magnetic moment (μB/atom) = 0.0000
- DOS(E_F) (states/eV/f.u.) = 4.24

Unit cell a=5.132 b=5.132 c=3.626 alpha=90.00 beta=90.00 gamma=90.00
Space group P4/mmm (No. 123)
Asymmetric unit:
B1 0.000 0.000 0.000
Ir1 0.500 0.500 0.500
Se1 0.000 0.500 0.500
N1 0.500 0.500 0.000

***

2.
The following is a GGA-PBE calculation of BIrSeN2 after structural relaxation, from Alexandria via LeMat-Bulk.

- energy relative to the elements, uncorrected (eV per atom) = 1.736
- energy (eV per atom) = -5.399
- energy relative to the lowest polymorph listed for this composition (eV per atom) = 0.293
- crystal system = tetragonal
- calculated volume (Å³/f.u.) = 55
- total magnetic moment (μB/atom) = 0.0000
- DOS(E_F) (states/eV/f.u.) = 3.97

Unit cell a=3.525 b=3.525 c=4.387 alpha=90.00 beta=90.00 gamma=90.00
Space group P4/mmm (No. 123)
Asymmetric unit:
B1 0.000 0.000 0.000
Ir1 0.500 0.500 0.500
Se1 0.000 0.000 0.500
N1 0.000 0.500 0.000